[1]
A relaxed structure of PmEr12Co6, computed with PBE.

CIF file:
```
data_PmEr12Co6
_chemical_formula_sum 'Pm2 Er24 Co12'
_symmetry_space_group_name_H-M 'I m -3'
_symmetry_Int_Tables_number 204
_symmetry_space_group_name_Hall '-I 2 2 3'
_cell_length_a 9.687
_cell_length_b 9.687
_cell_length_c 9.687
_cell_angle_alpha 90.00
_cell_angle_beta 90.00
_cell_angle_gamma 90.00
loop_
_atom_site_label
_atom_site_type_symbol
_atom_site_fract_x
_atom_site_fract_y
_atom_site_fract_z
Pm1 Pm 0.000 0.000 0.000
Er1 Er 0.000 0.309 0.194
Co1 Co 0.000 0.114 0.500
```

Results
Formation enthalpy at 0 K: -0.15 eV/atom
V: 23.92 Å³ per atom
Total DFT energy (no corrections): -210.14 eV per cell

[2]
A relaxed structure of LiNd4Se4, computed with PBE.

CIF file:
```
data_LiNd4Se4
_chemical_formula_sum 'Li2 Nd8 Se8'
_symmetry_space_group_name_H-M 'P 42/n m c'
_symmetry_Int_Tables_number 137
_cell_length_a 8.690
_cell_length_b 8.690
_cell_length_c 5.962
_cell_angle_alpha 90.00
_cell_angle_beta 90.00
_cell_angle_gamma 90.00
loop_
_symmetry_equiv_pos_as_xyz
'x,y,z'
'-x,-y,-z'
'-y+1/2,x,z+1/2'
'y+1/2,-x,-z+1/2'
'-x+1/2,-y+1/2,z'
'x+1/2,y+1/2,-z'
'y,-x+1/2,z+1/2'
'-y,x+1/2,-z+1/2'
'x+1/2,-y,-z'
'-x+1/2,y,z'
'-y,-x,-z+1/2'
'y,x,z+1/2'
'-x,y+1/2,-z'
'x,-y+1/2,z'
'y+1/2,x+1/2,-z+1/2'
'-y+1/2,-x+1/2,z+1/2'
loop_
_atom_site_label
_atom_site_type_symbol
_atom_site_fract_x
_atom_site_fract_y
_atom_site_fract_z
Li1 Li 0.250 0.750 0.250
Nd1 Nd 0.038 0.250 0.022
Se1 Se 0.023 0.750 0.486
```

Results
V: 25.01 Å³ per atom
Total DFT energy (no corrections): -97.24 eV per cell